# NaAlMo3 PBE optimized geometry
data_NaAlMo3
_chemical_formula_sum 'Na1 Al1 Mo3'
_cell_length_a 4.530
_cell_length_b 4.530
_cell_length_c 4.530
_cell_angle_alpha 90.00
_cell_angle_beta 90.00
_cell_angle_gamma 90.00
_space_group_name_H-M_alt 'P m -3 m'
_space_group_IT_number 221
_space_group_name_Hall '-P 4 2 3'
loop_
_atom_site_label
_atom_site_type_symbol
_atom_site_fract_x
_atom_site_fract_y
_atom_site_fract_z
Na1 Na 0.000 0.000 0.000
Al1 Al 0.500 0.500 0.500
Mo1 Mo 0.000 0.000 0.500
# * DFT formation energy: 2.42 eV/atom
# * distance to the lowest polymorph of the same formula: 0.710 eV per atom

# BiS2O PBE optimized geometry
data_BiS2O
_chemical_formula_sum 'Bi3 S6 O3'
_cell_length_a 3.9592
_cell_length_b 3.9592
_cell_length_c 18.3122
_cell_angle_alpha 90.00
_cell_angle_beta 90.00
_cell_angle_gamma 120.00
_space_group_name_H-M_alt 'R -3 m'
_space_group_IT_number 166
_space_group_name_Hall '-R 3 2"'
loop_
_atom_site_label
_atom_site_type_symbol
_atom_site_fract_x
_atom_site_fract_y
_atom_site_fract_z
Bi1 Bi 0.0000 0.0000 0.0000
S1 S 0.0000 0.0000 0.1560
O1 O 0.0000 0.0000 0.5000
# * formation energy (no corrections): 0.62 eV per atom
# * distance to the lowest polymorph of the same formula: 0.515 eV per atom

# Ba2CrS PBE optimized geometry
data_Ba2CrS
_chemical_formula_sum 'Ba8 Cr4 S4'
_cell_length_a 8.654
_cell_length_b 8.654
_cell_length_c 9.257
_cell_angle_alpha 90.00
_cell_angle_beta 90.00
_cell_angle_gamma 90.00
_space_group_name_H-M_alt 'I -4 2 d'
_space_group_IT_number 122
_space_group_name_Hall 'I -4 2bw'
loop_
_atom_site_label
_atom_site_type_symbol
_atom_site_fract_x
_atom_site_fract_y
_atom_site_fract_z
Ba1 Ba 0.202 0.250 0.125
Cr1 Cr 0.000 0.000 0.500
S1 S 0.000 0.000 0.000
# * formation energy (no corrections): -0.28 eV per atom

# Li7BiAu4 PBE optimized geometry
data_Li7BiAu4
_chemical_formula_sum 'Li14 Bi2 Au8'
_cell_length_a 12.110
_cell_length_b 4.998
_cell_length_c 9.005
_cell_angle_alpha 90.00
_cell_angle_beta 123.93
_cell_angle_gamma 90.00
_space_group_name_H-M_alt 'C 1 2/m 1'
_space_group_IT_number 12
loop_
_space_group_symop_operation_xyz
'x,y,z'
'-x,-y,-z'
'-x,y,-z'
'x,-y,z'
'x+1/2,y+1/2,z'
'-x+1/2,-y+1/2,-z'
'-x+1/2,y+1/2,-z'
'x+1/2,-y+1/2,z'
loop_
_atom_site_label
_atom_site_type_symbol
_atom_site_fract_x
_atom_site_fract_y
_atom_site_fract_z
Li1 Li 0.000 0.000 0.000
Li2 Li 0.055 0.500 0.371
Li3 Li 0.211 0.000 0.647
Li4 Li 0.220 0.500 0.888
Bi1 Bi 0.000 0.500 0.000
Au1 Au 0.068 0.000 0.772
Au2 Au 0.206 0.000 0.348
# * DFT formation energy: -0.36 eV/atom

# CaTa2BeOs PBE optimized geometry
data_CaTa2BeOs
_chemical_formula_sum 'Ca1 Ta2 Be1 Os1'
_cell_length_a 4.603
_cell_length_b 4.603
_cell_length_c 4.232
_cell_angle_alpha 90.00
_cell_angle_beta 90.00
_cell_angle_gamma 90.00
_space_group_name_H-M_alt 'P 4/m m m'
_space_group_IT_number 123
_space_group_name_Hall '-P 4 2'
loop_
_atom_site_label
_atom_site_type_symbol
_atom_site_fract_x
_atom_site_fract_y
_atom_site_fract_z
Ca1 Ca 0.000 0.000 0.000
Ta1 Ta 0.000 0.500 0.000
Be1 Be 0.000 0.000 0.500
Os1 Os 0.500 0.500 0.500
# * DFT formation energy: 2.74 eV/atom

# Cr3CoC PBE optimized geometry
data_Cr3CoC
_chemical_formula_sum 'Cr3 Co1 C1'
_cell_length_a 3.784
_cell_length_b 3.784
_cell_length_c 3.784
_cell_angle_alpha 90.00
_cell_angle_beta 90.00
_cell_angle_gamma 90.00
_space_group_name_H-M_alt 'P m -3 m'
_space_group_IT_number 221
_space_group_name_Hall '-P 4 2 3'
loop_
_atom_site_label
_atom_site_type_symbol
_atom_site_fract_x
_atom_site_fract_y
_atom_site_fract_z
Cr1 Cr 0.000 0.000 0.500
Co1 Co 0.500 0.500 0.500
C1 C 0.000 0.000 0.000
# * DFT formation energy: 0.16 eV/atom
# * distance to the lowest polymorph of the same formula: 0.000 eV per atom

# FeMo PBE optimized geometry
data_FeMo
_chemical_formula_sum 'Fe6 Mo6'
_cell_length_a 7.0211
_cell_length_b 7.0211
_cell_length_c 4.0243
_cell_angle_alpha 90.00
_cell_angle_beta 90.00
_cell_angle_gamma 120.00
_space_group_name_H-M_alt 'P 63/m'
_space_group_IT_number 176
_space_group_name_Hall '-P 6c'
loop_
_atom_site_label
_atom_site_type_symbol
_atom_site_fract_x
_atom_site_fract_y
_atom_site_fract_z
Fe1 Fe 0.0443 0.8216 0.2500
Mo1 Mo 0.0923 0.6341 0.7500
# * DFT formation energy: 0.50 eV/atom

# Rb2ZnCrH6 PBE optimized geometry
data_Rb2ZnCrH6
_chemical_formula_sum 'Rb4 Zn2 Cr2 H12'
_cell_length_a 5.506
_cell_length_b 5.506
_cell_length_c 8.740
_cell_angle_alpha 90.00
_cell_angle_beta 90.00
_cell_angle_gamma 90.00
_space_group_name_H-M_alt 'I 4/m m m'
_space_group_IT_number 139
_space_group_name_Hall '-I 4 2'
loop_
_atom_site_label
_atom_site_type_symbol
_atom_site_fract_x
_atom_site_fract_y
_atom_site_fract_z
Rb1 Rb 0.000 0.500 0.250
Zn1 Zn 0.000 0.000 0.000
Cr1 Cr 0.000 0.000 0.500
H1 H 0.000 0.000 0.294
H2 H 0.243 0.243 0.500
# * final energy: -65.6 eV per cell

# Tm8Sb2Ir PBE optimized geometry
data_Tm8Sb2Ir
_chemical_formula_sum 'Tm16 Sb4 Ir2'
_cell_length_a 19.005
_cell_length_b 4.843
_cell_length_c 6.631
_cell_angle_alpha 90.00
_cell_angle_beta 104.24
_cell_angle_gamma 90.00
_space_group_name_H-M_alt 'C 1 2/m 1'
_space_group_IT_number 12
loop_
_space_group_symop_operation_xyz
'x,y,z'
'-x,-y,-z'
'-x,y,-z'
'x,-y,z'
'x+1/2,y+1/2,z'
'-x+1/2,-y+1/2,-z'
'-x+1/2,y+1/2,-z'
'x+1/2,-y+1/2,z'
loop_
_atom_site_label
_atom_site_type_symbol
_atom_site_fract_x
_atom_site_fract_y
_atom_site_fract_z
Tm1 Tm 0.019 0.000 0.284
Tm2 Tm 0.091 0.500 0.965
Tm3 Tm 0.145 0.500 0.514
Tm4 Tm 0.219 0.000 0.832
Sb1 Sb 0.182 0.000 0.265
Ir1 Ir 0.000 0.500 0.500
# * formation energy (no corrections): -0.54 eV per atom

# ZrSb2Pd7 PBE optimized geometry
data_ZrSb2Pd7
_chemical_formula_sum 'Zr2 Sb4 Pd14'
_cell_length_a 4.057
_cell_length_b 4.057
_cell_length_c 22.406
_cell_angle_alpha 90.00
_cell_angle_beta 90.00
_cell_angle_gamma 90.00
_space_group_name_H-M_alt 'I 4/m m m'
_space_group_IT_number 139
_space_group_name_Hall '-I 4 2'
loop_
_atom_site_label
_atom_site_type_symbol
_atom_site_fract_x
_atom_site_fract_y
_atom_site_fract_z
Zr1 Zr 0.000 0.000 0.000
Sb1 Sb 0.000 0.000 0.330
Pd1 Pd 0.000 0.000 0.500
Pd2 Pd 0.000 0.500 0.089
Pd3 Pd 0.000 0.500 0.250
# * formation energy (no corrections): -0.55 eV per atom

# AlZn12Ga16 PBE optimized geometry
data_AlZn12Ga16
_chemical_formula_sum 'Al2 Zn24 Ga32'
_cell_length_a 9.998
_cell_length_b 14.135
_cell_length_c 8.655
_cell_angle_alpha 90.00
_cell_angle_beta 125.10
_cell_angle_gamma 90.00
_space_group_name_H-M_alt 'C 1 m 1'
_space_group_IT_number 8
loop_
_space_group_symop_operation_xyz
'x,y,z'
'x,-y,z'
'x+1/2,y+1/2,z'
'x+1/2,-y+1/2,z'
loop_
_atom_site_label
_atom_site_type_symbol
_atom_site_fract_x
_atom_site_fract_y
_atom_site_fract_z
Al1 Al 0.000 0.000 0.000
Zn1 Zn 0.083 0.311 0.461
Zn2 Zn 0.271 0.500 0.080
Zn3 Zn 0.297 0.096 0.271
Zn4 Zn 0.373 0.406 0.659
Zn5 Zn 0.391 0.193 0.082
Zn6 Zn 0.465 0.500 0.466
Zn7 Zn 0.487 0.095 0.891
Ga1 Ga 0.029 0.138 0.273
Ga2 Ga 0.069 0.206 0.967
Ga3 Ga 0.077 0.500 0.263
Ga4 Ga 0.082 0.500 0.592
Ga5 Ga 0.151 0.155 0.686
Ga6 Ga 0.237 0.350 0.857
Ga7 Ga 0.246 0.338 0.273
Ga8 Ga 0.250 0.000 0.941
Ga9 Ga 0.278 0.000 0.553
Ga10 Ga 0.377 0.208 0.579
# * DFT formation energy: 0.03 eV/atom

# BaIr2Br PBE optimized geometry
data_BaIr2Br
_chemical_formula_sum 'Ba2 Ir4 Br2'
_cell_length_a 5.813
_cell_length_b 12.073
_cell_length_c 3.228
_cell_angle_alpha 90.00
_cell_angle_beta 123.59
_cell_angle_gamma 90.00
_space_group_name_H-M_alt 'C 1 2/m 1'
_space_group_IT_number 12
loop_
_space_group_symop_operation_xyz
'x,y,z'
'-x,-y,-z'
'-x,y,-z'
'x,-y,z'
'x+1/2,y+1/2,z'
'-x+1/2,-y+1/2,-z'
'-x+1/2,y+1/2,-z'
'x+1/2,-y+1/2,z'
loop_
_atom_site_label
_atom_site_type_symbol
_atom_site_fract_x
_atom_site_fract_y
_atom_site_fract_z
Ba1 Ba 0.000 0.000 0.000
Ir1 Ir 0.250 0.250 0.500
Br1 Br 0.000 0.500 0.000
# * formation energy (no corrections): 0.53 eV per atom
# * distance to the lowest polymorph of the same formula: 0.725 eV per atom

# InHgW2 PBE optimized geometry
data_InHgW2
_chemical_formula_sum 'In2 Hg2 W4'
_cell_length_a 5.666
_cell_length_b 9.492
_cell_length_c 2.852
_cell_angle_alpha 90.00
_cell_angle_beta 107.18
_cell_angle_gamma 90.00
_space_group_name_H-M_alt 'C 1 2/m 1'
_space_group_IT_number 12
loop_
_space_group_symop_operation_xyz
'x,y,z'
'-x,-y,-z'
'-x,y,-z'
'x,-y,z'
'x+1/2,y+1/2,z'
'-x+1/2,-y+1/2,-z'
'-x+1/2,y+1/2,-z'
'x+1/2,-y+1/2,z'
loop_
_atom_site_label
_atom_site_type_symbol
_atom_site_fract_x
_atom_site_fract_y
_atom_site_fract_z
In1 In 0.000 0.000 0.000
Hg1 Hg 0.000 0.500 0.000
W1 W 0.250 0.250 0.500
# * DFT formation energy: 0.78 eV/atom
# * distance to the lowest polymorph of the same formula: 0.282 eV per atom

# Pm5Ni2Ge5 PBE optimized geometry
data_Pm5Ni2Ge5
_chemical_formula_sum 'Pm10 Ni4 Ge10'
_cell_length_a 11.493
_cell_length_b 4.314
_cell_length_c 11.491
_cell_angle_alpha 90.00
_cell_angle_beta 109.90
_cell_angle_gamma 90.00
_space_group_name_H-M_alt 'C 1 2/m 1'
_space_group_IT_number 12
loop_
_space_group_symop_operation_xyz
'x,y,z'
'-x,-y,-z'
'-x,y,-z'
'x,-y,z'
'x+1/2,y+1/2,z'
'-x+1/2,-y+1/2,-z'
'-x+1/2,y+1/2,-z'
'x+1/2,-y+1/2,z'
loop_
_atom_site_label
_atom_site_type_symbol
_atom_site_fract_x
_atom_site_fract_y
_atom_site_fract_z
Pm1 Pm 0.000 0.000 0.000
Pm2 Pm 0.123 0.500 0.772
Pm3 Pm 0.155 0.500 0.487
Ni1 Ni 0.170 0.500 0.237
Ge1 Ge 0.000 0.000 0.500
Ge2 Ge 0.106 0.000 0.280
Ge3 Ge 0.213 0.500 0.050
# * DFT formation energy: -0.61 eV/atom
# * distance to the lowest polymorph of the same formula: 0.117 eV per atom

# Cd2In5Pb PBE optimized geometry
data_Cd2In5Pb
_chemical_formula_sum 'Cd4 In10 Pb2'
_cell_length_a 3.331
_cell_length_b 10.297
_cell_length_c 12.581
_cell_angle_alpha 90.00
_cell_angle_beta 90.00
_cell_angle_gamma 90.00
_space_group_name_H-M_alt 'I m m m'
_space_group_IT_number 71
_space_group_name_Hall '-I 2 2'
loop_
_atom_site_label
_atom_site_type_symbol
_atom_site_fract_x
_atom_site_fract_y
_atom_site_fract_z
Cd1 Cd 0.000 0.000 0.246
In1 In 0.000 0.000 0.500
In2 In 0.000 0.265 0.130
Pb1 Pb 0.000 0.500 0.500
# * DFT formation energy: 0.04 eV/atom

# Ho8Ag2Sn PBE optimized geometry
data_Ho8Ag2Sn
_chemical_formula_sum 'Ho16 Ag4 Sn2'
_cell_length_a 8.695
_cell_length_b 14.081
_cell_length_c 5.417
_cell_angle_alpha 90.00
_cell_angle_beta 108.81
_cell_angle_gamma 90.00
_space_group_name_H-M_alt 'C 1 2/m 1'
_space_group_IT_number 12
loop_
_space_group_symop_operation_xyz
'x,y,z'
'-x,-y,-z'
'-x,y,-z'
'x,-y,z'
'x+1/2,y+1/2,z'
'-x+1/2,-y+1/2,-z'
'-x+1/2,y+1/2,-z'
'x+1/2,-y+1/2,z'
loop_
_atom_site_label
_atom_site_type_symbol
_atom_site_fract_x
_atom_site_fract_y
_atom_site_fract_z
Ho1 Ho 0.000 0.231 0.000
Ho2 Ho 0.104 0.500 0.804
Ho3 Ho 0.207 0.117 0.602
Ag1 Ag 0.000 0.305 0.500
Sn1 Sn 0.000 0.000 0.000
# * DFT formation energy: -0.12 eV/atom

# Ac8Ir3SeI4 PBE optimized geometry
data_Ac8Ir3SeI4
_chemical_formula_sum 'Ac24 Ir9 Se3 I12'
_cell_length_a 8.9680
_cell_length_b 8.9680
_cell_length_c 25.6764
_cell_angle_alpha 90.00
_cell_angle_beta 90.00
_cell_angle_gamma 120.00
_space_group_name_H-M_alt 'R -3 m'
_space_group_IT_number 166
_space_group_name_Hall '-R 3 2"'
loop_
_atom_site_label
_atom_site_type_symbol
_atom_site_fract_x
_atom_site_fract_y
_atom_site_fract_z
Ac1 Ac 0.0000 0.0000 0.2277
Ac2 Ac 0.0208 0.5104 0.7708
Ir1 Ir 0.0000 0.5000 0.5000
Se1 Se 0.0000 0.0000 0.5000
I1 I 0.0000 0.0000 0.0000
I2 I 0.0000 0.5000 0.0000
# * formation energy (no corrections): -1.13 eV per atom

# Co2RhCl PBE optimized geometry
data_Co2RhCl
_chemical_formula_sum 'Co4 Rh2 Cl2'
_cell_length_a 2.823
_cell_length_b 4.338
_cell_length_c 8.576
_cell_angle_alpha 90.00
_cell_angle_beta 90.00
_cell_angle_gamma 90.00
_space_group_name_H-M_alt 'I m m m'
_space_group_IT_number 71
_space_group_name_Hall '-I 2 2'
loop_
_atom_site_label
_atom_site_type_symbol
_atom_site_fract_x
_atom_site_fract_y
_atom_site_fract_z
Co1 Co 0.000 0.000 0.230
Rh1 Rh 0.000 0.500 0.000
Cl1 Cl 0.000 0.500 0.500
# * formation energy (no corrections): 0.55 eV per atom
# * distance to the lowest polymorph of the same formula: 0.321 eV per atom

# TiNb3B PBE optimized geometry
data_TiNb3B
_chemical_formula_sum 'Ti1 Nb3 B1'
_cell_length_a 4.618
_cell_length_b 4.618
_cell_length_c 4.618
_cell_angle_alpha 90.00
_cell_angle_beta 90.00
_cell_angle_gamma 90.00
_space_group_name_H-M_alt 'P m -3 m'
_space_group_IT_number 221
_space_group_name_Hall '-P 4 2 3'
loop_
_atom_site_label
_atom_site_type_symbol
_atom_site_fract_x
_atom_site_fract_y
_atom_site_fract_z
Ti1 Ti 0.000 0.000 0.000
Nb1 Nb 0.000 0.000 0.500
B1 B 0.500 0.500 0.500
# * DFT formation energy: 1.93 eV/atom
# * distance to the lowest polymorph of the same formula: 1.880 eV per atom

# AcPm3Er PBE optimized geometry
data_AcPm3Er
_chemical_formula_sum 'Ac2 Pm6 Er2'
_cell_length_a 3.739
_cell_length_b 8.748
_cell_length_c 11.528
_cell_angle_alpha 105.20
_cell_angle_beta 99.29
_cell_angle_gamma 90.06
_space_group_name_H-M_alt 'P -1'
_space_group_IT_number 2
loop_
_space_group_symop_operation_xyz
'x,y,z'
'-x,-y,-z'
loop_
_atom_site_label
_atom_site_type_symbol
_atom_site_fract_x
_atom_site_fract_y
_atom_site_fract_z
Ac1 Ac 0.214 0.308 0.429
Pm1 Pm 0.180 0.875 0.356
Pm2 Pm 0.390 0.488 0.779
Pm3 Pm 0.420 0.928 0.842
Er1 Er 0.016 0.714 0.033
# * DFT formation energy: 0.05 eV/atom
# * distance to the lowest polymorph of the same formula: 0.000 eV per atom

| no. | N(E_F) (states/eV/f.u.) |
| --- | --- |
| 1 | 7.08 |
| 2 | 2.58 |
| 3 | 1.56 |
| 4 | 2.37 |
| 5 | 8.50 |
| 6 | 5.61 |
| 7 | 3.08 |
| 8 | 0.57 |
| 9 | 8.64 |
| 10 | 2.84 |
| 11 | 7.72 |
| 12 | 3.62 |
| 13 | 2.12 |
| 14 | 6.07 |
| 15 | 3.28 |
| 16 | 16.86 |
| 17 | 7.52 |
| 18 | 4.29 |
| 19 | 5.94 |
| 20 | 8.68 |